1.
The following is a DFT calculation (PBE) of an optimized crystal structure of NbTcH2.

Cell: 2.9585 2.9585 5.2817 Å, 73.74 73.74 60.00°
Closest atoms and distances in Å follow each position.
Atoms (fractional coordinates):
Nb 0.4950 0.4950 0.5150  6 H 2.20-2.28
Tc 0.6744 0.6744 0.9769  6 H 1.94-2.08
H 0.0687 0.0687 0.7938  3 Tc 1.94
H 0.2619 0.2619 0.2143  3 Tc 2.08, 3 Nb 2.28

Properties
- Total magnetization: 0.00 Bohr magnetons per cell
- N(E_F): 2.17 states/eV/cell
- ΔE to the lowest computed polymorph: 167.8 meV per atom

***

2.
The following is a DFT calculation (PBE) of an optimized crystal structure of NbTcH4.

Cell: 3.1162 3.1165 4.5151 Å, 89.99 90.00 90.00°
Closest atoms and distances in Å follow each position.
Atoms (fractional coordinates):
Nb 0.5013 0.4973 0.9981  8 H 1.99
Tc 0.0013 0.9973 0.4981  8 H 1.86
H 0.5013 0.9972 0.2722  2 Tc 1.86, 2 Nb 1.99, 1 H 2.04
H 0.5013 0.9974 0.7241  2 Tc 1.86, 2 Nb 1.99, 1 H 2.04
H 0.0013 0.4972 0.7241  2 Tc 1.86, 2 Nb 1.99, 1 H 2.04
H 0.0012 0.4973 0.2722  2 Tc 1.86, 2 Nb 1.99, 1 H 2.04

Properties
- Total magnetization: 0.00 Bohr magnetons per cell
- VASP energy: -34.356 eV per formula unit
- N(E_F): 2.67 states/eV/cell

***

3.
The following is a DFT calculation (PBE) of an optimized crystal structure of NbVTc2H.

Cell: 4.3425 4.3425 3.3424 Å, 90.00 90.00 90.00°
Closest atoms and distances in Å follow each position.
Atoms (fractional coordinates):
H 0.0000 0.0000 0.0000  2 V 1.67
Nb 0.5000 0.5000 0.5000  8 Tc 2.74
Tc 0.0000 0.5000 0.0000  2 H 2.17
Tc 0.5000 0.0000 0.0000  2 H 2.17
V 0.0000 0.0000 0.5000  2 H 1.67

Properties
- Total magnetization: 0.00 Bohr magnetons per cell
- VASP energy: -43.682 eV per formula unit
- N(E_F): 2.86 states/eV/cell

***

4.
The following is a DFT calculation (PBE) of an optimized crystal structure of Zr2NbTcH.

Cell: 4.6799 4.6799 3.6196 Å, 90.00 90.00 90.00°
Closest atoms and distances in Å follow each position.
Atoms (fractional coordinates):
H 0.0000 0.0000 0.0000  2 Nb 1.81
Nb 0.0000 0.0000 0.5000  2 H 1.81
Tc 0.5000 0.5000 0.5000  8 Zr 2.96, 4 Nb 3.31
Zr 0.0000 0.5000 0.0000  2 H 2.34
Zr 0.5000 0.0000 0.0000  2 H 2.34

Properties
- Total magnetization: 0.00 Bohr magnetons per cell
- N(E_F): 4.37 states/eV/cell
- ΔE to the lowest computed polymorph: 8.3 meV per atom